Record 1
A plane-wave DFT calculation with GGA-PBE was carried out for a relaxed Mg2SeCl crystal.

```
Mg2SeCl
1.0
3.852 0.000 0.000
0.000 6.886 0.000
0.000 0.000 7.484
Mg Se Cl
4 2 2
Cartesian
0.000 0.000 1.745 Mg
0.000 0.000 5.739 Mg
1.926 3.443 1.745 Mg
1.926 3.443 5.739 Mg
0.000 3.443 0.000 Se
1.926 0.000 0.000 Se
0.000 3.443 3.742 Cl
1.926 0.000 3.742 Cl
```

E_form (uncorrected)   -789.4 meV per atom
Raw total energy   -23.36 eV/cell

Record 2
A plane-wave DFT calculation with GGA-PBE was carried out for a relaxed LiZnCuBi crystal.

```
LiZnCuBi
1.0
6.625 0.000 0.000
0.000 6.625 0.000
0.000 0.000 6.625
Li Zn Cu Bi
4 4 4 4
Cartesian
0.000 0.000 0.000 Li
0.000 3.313 3.313 Li
3.313 0.000 3.313 Li
3.313 3.313 0.000 Li
1.656 1.656 1.656 Zn
1.656 4.969 4.969 Zn
4.969 1.656 4.969 Zn
4.969 4.969 1.656 Zn
0.000 0.000 3.313 Cu
0.000 3.313 0.000 Cu
3.313 0.000 0.000 Cu
3.313 3.313 3.313 Cu
1.656 1.656 4.969 Bi
1.656 4.969 1.656 Bi
4.969 1.656 1.656 Bi
4.969 4.969 4.969 Bi
```

Raw total energy   -44.80 eV/cell

Record 3
A plane-wave DFT calculation with GGA-PBE was carried out for a relaxed Ti5In3Sn crystal.

```
Ti5In3Sn
1.0
8.401 0.000 0.000
-4.201 7.276 0.000
0.000 0.000 5.737
Ti In Sn
10 6 2
Cartesian
-1.193 2.066 1.434 Ti
-3.008 5.209 4.303 Ti
2.386 0.000 1.434 Ti
1.193 2.066 4.303 Ti
0.000 4.850 0.000 Ti
0.000 4.850 2.869 Ti
4.201 2.425 0.000 Ti
4.201 2.425 2.869 Ti
6.015 0.000 4.303 Ti
3.008 5.209 1.434 Ti
-1.613 2.793 4.303 In
-2.588 4.482 1.434 In
3.225 0.000 4.303 In
1.613 2.793 1.434 In
5.176 0.000 1.434 In
2.588 4.482 4.303 In
0.000 0.000 0.000 Sn
0.000 0.000 2.869 Sn
```

Raw total energy   -105.28 eV/cell

Which ρ belongs to each record? In order, 2.7; 7.9; 6.7 g/cm3.
Which total magnetic moment belongs to each record? In order, 0.00; 0.00; 3.59 Bohr magnetons per cell.